# GGA-PBE Pm2Cd5Au, optimized geometry
data_Pm2Cd5Au
_space_group_name_H-M_alt 'P b a m'
_space_group_IT_number 55
_cell_length_a 6.661
_cell_length_b 13.175
_cell_length_c 4.525
_cell_angle_alpha 90.00
_cell_angle_beta 90.00
_cell_angle_gamma 90.00
loop_
_space_group_symop_operation_xyz
'x,y,z'
'-x,-y,-z'
'-x,-y,z'
'x,y,-z'
'x+1/2,-y+1/2,-z'
'-x+1/2,y+1/2,z'
'-x+1/2,y+1/2,-z'
'x+1/2,-y+1/2,z'
loop_
_atom_site_label
_atom_site_type_symbol
_atom_site_fract_x
_atom_site_fract_y
_atom_site_fract_z
_atom_site_occupancy
Pm1 Pm 0.210 0.113 0.000 1
Cd1 Cd 0.000 0.500 0.500 1
Cd2 Cd 0.044 0.753 0.500 1
Cd3 Cd 0.210 0.365 0.000 1
Au1 Au 0.000 0.000 0.500 1
# E above lowest polymorph: 0.00 kJ/mol of atoms
# Formation energy from the elements: -7.366 kcal/mol of atoms

# GGA-PBE KGeIrPb2, optimized geometry
data_KGeIrPb2
_space_group_name_H-M_alt 'P 4/m m m'
_space_group_IT_number 123
_space_group_name_Hall '-P 4 2'
_cell_length_a 5.430
_cell_length_b 5.430
_cell_length_c 5.828
_cell_angle_alpha 90.00
_cell_angle_beta 90.00
_cell_angle_gamma 90.00
loop_
_atom_site_label
_atom_site_type_symbol
_atom_site_fract_x
_atom_site_fract_y
_atom_site_fract_z
_atom_site_occupancy
K1 K 0.000 0.000 0.000 1
Ge1 Ge 0.000 0.000 0.500 1
Ir1 Ir 0.500 0.500 0.000 1
Pb1 Pb 0.000 0.500 0.500 1
# Formation energy from the elements: 27.330 kcal/mol of atoms

# GGA-PBE BaTcS2, optimized geometry
data_BaTcS2
_space_group_name_H-M_alt 'C 1 2/m 1'
_space_group_IT_number 12
_cell_length_a 9.639
_cell_length_b 4.859
_cell_length_c 9.846
_cell_angle_alpha 90.00
_cell_angle_beta 116.80
_cell_angle_gamma 90.00
loop_
_space_group_symop_operation_xyz
'x,y,z'
'-x,-y,-z'
'-x,y,-z'
'x,-y,z'
'x+1/2,y+1/2,z'
'-x+1/2,-y+1/2,-z'
'-x+1/2,y+1/2,-z'
'x+1/2,-y+1/2,z'
loop_
_atom_site_label
_atom_site_type_symbol
_atom_site_fract_x
_atom_site_fract_y
_atom_site_fract_z
_atom_site_occupancy
Ba1 Ba 0.239 0.000 0.299 1
Tc1 Tc 0.069 0.500 0.934 1
S1 S 0.081 0.500 0.339 1
S2 S 0.147 0.000 0.936 1
# E above lowest polymorph: 8.22 kJ/mol of atoms
# E_form (uncorrected): -1.032 eV per atom

# GGA-PBE In2TeCl, optimized geometry
data_In2TeCl
_space_group_name_H-M_alt 'P 1 m 1'
_space_group_IT_number 6
_cell_length_a 4.689
_cell_length_b 6.267
_cell_length_c 4.697
_cell_angle_alpha 90.00
_cell_angle_beta 101.82
_cell_angle_gamma 90.00
loop_
_space_group_symop_operation_xyz
'x,y,z'
'x,-y,z'
loop_
_atom_site_label
_atom_site_type_symbol
_atom_site_fract_x
_atom_site_fract_y
_atom_site_fract_z
_atom_site_occupancy
In1 In 0.000 0.000 0.000 1
In2 In 0.408 0.500 0.590 1
Te1 Te 0.588 0.000 0.411 1
Cl1 Cl 0.979 0.500 0.021 1
# E above lowest polymorph: 9.01 kJ/mol of atoms
# E_form (uncorrected): -0.452 eV per atom

# GGA-PBE YGaSi, optimized geometry
data_YGaSi
_space_group_name_H-M_alt 'I 4 m m'
_space_group_IT_number 107
_space_group_name_Hall 'I 4 -2'
_cell_length_a 3.413
_cell_length_b 3.413
_cell_length_c 10.392
_cell_angle_alpha 90.00
_cell_angle_beta 90.00
_cell_angle_gamma 90.00
loop_
_atom_site_label
_atom_site_type_symbol
_atom_site_fract_x
_atom_site_fract_y
_atom_site_fract_z
_atom_site_occupancy
Y1 Y 0.000 0.000 0.000 1
Ga1 Ga 0.000 0.000 0.303 1
Si1 Si 0.000 0.000 0.692 1
# E_form (uncorrected): -0.305 eV per atom

# GGA-PBE Nd2GaSe, optimized geometry
data_Nd2GaSe
_space_group_name_H-M_alt 'R 3 m'
_space_group_IT_number 160
_space_group_name_Hall 'R 3 -2"'
_cell_length_a 4.0376
_cell_length_b 4.0376
_cell_length_c 23.9531
_cell_angle_alpha 90.00
_cell_angle_beta 90.00
_cell_angle_gamma 120.00
loop_
_atom_site_label
_atom_site_type_symbol
_atom_site_fract_x
_atom_site_fract_y
_atom_site_fract_z
_atom_site_occupancy
Nd1 Nd 0.0000 0.0000 0.0000 1
Nd2 Nd 0.0000 0.0000 0.1781 1
Ga1 Ga 0.0000 0.0000 0.7564 1
Se1 Se 0.0000 0.0000 0.5875 1
# E above lowest polymorph: 19.22 kJ/mol of atoms
# E_form (uncorrected): -1.048 eV per atom

# GGA-PBE Tb4Er8Zr, optimized geometry
data_Tb4Er8Zr
_space_group_name_H-M_alt 'P m -3 m'
_space_group_IT_number 221
_space_group_name_Hall '-P 4 2 3'
_cell_length_a 7.622
_cell_length_b 7.622
_cell_length_c 7.622
_cell_angle_alpha 90.00
_cell_angle_beta 90.00
_cell_angle_gamma 90.00
loop_
_atom_site_label
_atom_site_type_symbol
_atom_site_fract_x
_atom_site_fract_y
_atom_site_fract_z
_atom_site_occupancy
Tb1 Tb 0.000 0.000 0.000 1
Tb2 Tb 0.000 0.500 0.500 1
Er1 Er 0.245 0.245 0.245 1
Zr1 Zr 0.500 0.500 0.500 1
# Formation energy from the elements: 12.446 kcal/mol of atoms

# GGA-PBE CrIr2Pb, optimized geometry
data_CrIr2Pb
_space_group_name_H-M_alt 'C m m m'
_space_group_IT_number 65
_space_group_name_Hall '-C 2 2'
_cell_length_a 5.935
_cell_length_b 7.373
_cell_length_c 3.041
_cell_angle_alpha 90.00
_cell_angle_beta 90.00
_cell_angle_gamma 90.00
loop_
_atom_site_label
_atom_site_type_symbol
_atom_site_fract_x
_atom_site_fract_y
_atom_site_fract_z
_atom_site_occupancy
Cr1 Cr 0.000 0.000 0.000 1
Ir1 Ir 0.250 0.250 0.500 1
Pb1 Pb 0.000 0.500 0.000 1
# Formation energy from the elements: 8.590 kcal/mol of atoms